(1)
Below is a relaxed structure of CuIrC2, with properties calculated at the GGA-PBE level.

electronic total energy	-55.05	eV per cell
symmetry	I-42d
energy relative to the elements	969	meV/atom

Lattice parameters (Å, degrees): 4.631 4.631 5.583 65.50 65.50 90.00
Fractional positions:
C  0.875  0.889  0.750
C  0.639  0.125  0.250
C  0.111  0.625  0.250
C  0.375  0.361  0.750
Ir  0.000  0.000  0.000
Ir  0.750  0.250  0.500
Cu  0.500  0.500  0.000
Cu  0.250  0.750  0.500

=====

(2)
Below is a relaxed structure of Ba2YCd, with properties calculated at the GGA-PBE level.

electronic total energy	-20.54	eV per cell
symmetry	I-42d
energy relative to the elements	238	meV/atom

Lattice parameters (Å, degrees): 9.804 9.804 7.778 50.93 50.93 90.00
Fractional positions:
Ba  0.875  0.913  0.750
Ba  0.375  0.337  0.750
Ba  0.087  0.625  0.250
Ba  0.663  0.125  0.250
Y  0.500  0.500  0.000
Y  0.250  0.750  0.500
Cd  0.000  0.000  0.000
Cd  0.750  0.250  0.500

=====

Number 1: total magnetization 0.00 μB per formula unit, DOS at the Fermi energy 0.4123 states/eV per atom, density 9.6 g/cm3. Number 2: total magnetization 0.00 μB per formula unit, DOS at the Fermi energy 1.2599 states/eV per atom, density 4.7 g/cm3.